The following is a DFT calculation (PBE) of an optimized crystal structure of BaSr3Tc.

Properties
The calculation puts the formation energy at 1963 meV per atom. The value obtained for the total magnetic moment is 0.000 μB/atom.

extended XYZ file:
```
5
Lattice="-4.531 1.781 3.482 2.762 -2.316 4.778 2.769 5.224 0.931" Properties=species:S:1:pos:R:3 pbc="T T T"
Sr 1.381 -1.158 2.389
Sr 1.385 2.612 0.465
Sr -2.265 0.891 1.741
Ba 0.000 0.000 0.000
Tc 0.500 2.345 4.596
```